Entry 1:
{"formula": "Mn2TcW", "functional": "PBE-GGA", "state": "relaxed", "crystal_system": "orthorhombic", "de_polymorph_ev_per_atom": 0.0504, "volume_a3_per_atom": 13.62, "lattice_angstrom": [[3.068, 0.000, 0.000], [0.000, 4.206, 0.000], [0.000, 0.000, 8.442]], "species": ["Mn", "Mn", "Mn", "Mn", "Tc", "Tc", "W", "W"], "fractional_positions": [[0.000, 0.000, 0.000], [0.000, 0.500, 0.253], [0.500, 0.000, 0.753], [0.500, 0.500, 0.500], [0.000, 0.500, 0.750], [0.500, 0.000, 0.250], [0.000, 0.000, 0.502], [0.500, 0.500, 0.002]]}

***

Entry 2:
{"formula": "MnTcW2", "functional": "PBE-GGA", "state": "relaxed", "crystal_system": "orthorhombic", "de_polymorph_ev_per_atom": 0.0227, "volume_a3_per_atom": 14.83, "lattice_angstrom": [[3.161, 0.000, 0.000], [0.000, 4.381, 0.000], [0.000, 0.000, 8.567]], "species": ["Mn", "Mn", "Tc", "Tc", "W", "W", "W", "W"], "fractional_positions": [[0.000, 0.000, 0.000], [0.500, 0.500, 0.000], [0.000, 0.500, 0.768], [0.500, 0.000, 0.768], [0.000, 0.000, 0.509], [0.000, 0.500, 0.242], [0.500, 0.000, 0.242], [0.500, 0.500, 0.509]]}

***

Entry 3:
{"formula": "MnTc3W", "functional": "PBE-GGA", "state": "relaxed", "crystal_system": "cubic", "de_polymorph_ev_per_atom": 0.0000, "volume_a3_per_atom": 16.40, "lattice_angstrom": [[4.344, 0.000, 0.000], [0.000, 4.344, 0.000], [0.000, 0.000, 4.344]], "species": ["Mn", "Tc", "Tc", "Tc", "W"], "fractional_positions": [[0.000, 0.000, 0.000], [0.000, 0.000, 0.500], [0.000, 0.500, 0.000], [0.500, 0.000, 0.000], [0.500, 0.500, 0.500]]}

***

Entry 4:
{"formula": "MnTcW2", "functional": "PBE-GGA", "state": "relaxed", "crystal_system": "tetragonal", "de_polymorph_ev_per_atom": 0.1069, "volume_a3_per_atom": 14.61, "lattice_angstrom": [[2.709, 0.000, 0.000], [0.000, 2.709, 0.000], [0.000, 0.000, 7.961]], "species": ["Mn", "Tc", "W", "W"], "fractional_positions": [[0.000, 0.000, 0.000], [0.500, 0.500, 0.203], [0.000, 0.000, 0.477], [0.500, 0.500, 0.764]]}

***

What is the formula in the second record?
MnTcW2